A | DFT (PBE) results for crystalline Pm2Sm5Tm3 at its relaxed geometry.

a b c (Å): 12.358 12.358 12.358
angles (deg): 135.32 56.05 147.93
Element x y z (fractional)
Pm 0.123 0.099 0.222
Pm 0.377 0.599 0.977
Pm 0.623 0.401 0.023
Pm 0.877 0.901 0.778
Sm 0.001 0.250 0.751
Sm 0.126 0.406 0.532
Sm 0.250 0.750 0.500
Sm 0.374 0.906 0.280
Sm 0.499 0.250 0.249
Sm 0.501 0.750 0.751
Sm 0.626 0.094 0.720
Sm 0.750 0.250 0.500
Sm 0.874 0.594 0.468
Sm 0.999 0.750 0.249
Tm 0.120 0.752 0.873
Tm 0.250 0.250 0.000
Tm 0.380 0.252 0.632
Tm 0.620 0.748 0.368
Tm 0.750 0.750 0.000
Tm 0.880 0.248 0.127

Summary:
As for the total moment: 0.0 μB/f.u. The symmetry is Ibam, No. 72.

B | DFT (PBE) results for crystalline Pm2Sm5Tm3 at its relaxed geometry.

a b c (Å): 9.549 9.549 9.558
angles (deg): 108.48 108.48 111.04
Element x y z (fractional)
Pm 0.020 0.264 0.050
Pm 0.264 0.020 0.550
Pm 0.736 0.980 0.450
Pm 0.980 0.736 0.950
Sm 0.154 0.383 0.782
Sm 0.232 0.768 0.750
Sm 0.270 0.730 0.250
Sm 0.383 0.154 0.282
Sm 0.467 0.533 0.250
Sm 0.533 0.467 0.750
Sm 0.617 0.846 0.718
Sm 0.730 0.270 0.750
Sm 0.768 0.232 0.250
Sm 0.846 0.617 0.218
Tm 0.026 0.974 0.750
Tm 0.223 0.460 0.454
Tm 0.460 0.223 0.954
Tm 0.540 0.777 0.046
Tm 0.777 0.540 0.546
Tm 0.974 0.026 0.250

Summary:
As for the total moment: 0.0 μB/f.u. The symmetry is C2/c, No. 15.

B is the most stable structure; the next one sits 18.8 kJ/mol of atoms above it.